DFT (PBE) results for a geometry-optimized ZrWSe structure.

Calculated values
Formation energy from raw total energies (meV/atom): -11
Space group: I4mm (107)
Magnetization (μB/f.u.): 0.0
Energy above the lowest structure with this stoichiometry (meV per atom): 637

```
ZrWSe
1.0
6.142 -0.002 0.002
5.363 2.995 0.010
0.779 0.194 2.990
Se Zr W
1 1 1
direct
0.980 0.980 0.020
0.664 0.664 0.336
0.356 0.356 0.644
```